(1)
First-principles (GGA-PBE) data for a relaxed CrCdFe2 crystal, as listed in Alexandria.

Cell: 3.7540 3.8511 7.7965 Å, 90.00 90.00 90.00°
Element x y z (fractional)
Cr  0.0000  0.0000  0.0000
Cr  0.5000  0.5000  0.5000
Cd  0.0000  0.0000  0.5000
Cd  0.5000  0.5000  0.0000
Fe  0.0000  0.5000  0.2521
Fe  0.0000  0.5000  0.7479
Fe  0.5000  0.0000  0.2479
Fe  0.5000  0.0000  0.7521

## Properties
Crystal system: orthorhombic
Calculated volume (A^3/atom): 14.09
Calculated formation energy (eV per atom): 0.417
D(E_F) (states/eV per atom): 1.264
DFT total energy (eV/cell): -51.59
Magnetic moment (μB/atom): 0.4040



(2)
First-principles (GGA-PBE) data for a relaxed LiZnAs2 crystal, as listed in Alexandria.

Cell: 3.9304 4.5224 7.8228 Å, 90.00 90.00 90.00°
Element x y z (fractional)
Li  0.0000  0.0000  0.0000
Li  0.5000  0.5000  0.5000
Zn  0.0000  0.0000  0.5000
Zn  0.5000  0.5000  0.0000
As  0.0000  0.5000  0.2438
As  0.0000  0.5000  0.7562
As  0.5000  0.0000  0.2562
As  0.5000  0.0000  0.7438

## Properties
Crystal system: orthorhombic
Calculated volume (A^3/atom): 17.38
Calculated formation energy (eV per atom): -0.100
D(E_F) (states/eV per atom): 0.464
DFT total energy (eV/cell): -25.77
Magnetic moment (μB/atom): 0.0000



(3)
First-principles (GGA-PBE) data for a relaxed Pu2Tl3AgO9 crystal, as listed in Alexandria.

Cell: 6.1330 6.1330 7.6366 Å, 90.00 90.00 120.00°
Element x y z (fractional)
Pu  0.3333  0.6667  0.1562
Pu  0.6667  0.3333  0.8438
Tl  0.0000  0.0000  0.0000
Tl  0.3333  0.6667  0.6434
Tl  0.6667  0.3333  0.3566
Ag  0.0000  0.0000  0.5000
O  0.0000  0.5000  0.0000
O  0.1833  0.3666  0.3037
O  0.1833  0.8167  0.3037
O  0.3666  0.1833  0.6963
O  0.5000  0.0000  0.0000
O  0.5000  0.5000  0.0000
O  0.6334  0.8167  0.3037
O  0.8167  0.1833  0.6963
O  0.8167  0.6334  0.6963

## Properties
Raw formation energy (eV per atom): -1.586
Crystal system: trigonal
Calculated volume (A^3/atom): 16.58
DFT total energy (eV/cell): -107.02
Magnetic moment (μB/atom): 0.1329



(4)
First-principles (GGA-PBE) data for a relaxed Pm4AgAu crystal, as listed in Alexandria.

Cell: 5.1104 5.1104 7.2850 Å, 90.00 90.00 90.00°
Element x y z (fractional)
Pm  0.0000  0.5000  0.2439
Pm  0.0000  0.5000  0.7561
Pm  0.5000  0.0000  0.2439
Pm  0.5000  0.0000  0.7561
Ag  0.0000  0.0000  0.5000
Au  0.5000  0.5000  0.0000

## Properties
Crystal system: tetragonal
Calculated volume (A^3/atom): 31.71
Calculated formation energy (eV per atom): -0.148
D(E_F) (states/eV per atom): 1.740
DFT total energy (eV/cell): -26.02
Magnetic moment (μB/atom): 0.0006



(5)
First-principles (GGA-PBE) data for a relaxed TaMo12W7 crystal, as listed in Alexandria.

Cell: 6.9667 6.9667 6.9667 Å, 87.67 87.67 87.67°
Element x y z (fractional)
Ta  0.0000  0.0000  0.0000
Mo  0.1385  0.5052  0.6247
Mo  0.1415  0.7177  0.2529
Mo  0.2529  0.1415  0.7177
Mo  0.2823  0.7471  0.8585
Mo  0.3753  0.8615  0.4948
Mo  0.4948  0.3753  0.8615
Mo  0.5052  0.6247  0.1385
Mo  0.6247  0.1385  0.5052
Mo  0.7177  0.2529  0.1415
Mo  0.7471  0.8585  0.2823
Mo  0.8585  0.2823  0.7471
Mo  0.8615  0.4948  0.3753
W  0.0542  0.1385  0.3756
W  0.1385  0.3756  0.0542
W  0.3756  0.0542  0.1385
W  0.5000  0.5000  0.5000
W  0.6244  0.9458  0.8615
W  0.8615  0.6244  0.9458
W  0.9458  0.8615  0.6244

## Properties
Crystal system: trigonal
Calculated volume (A^3/atom): 16.87
Calculated formation energy (eV per atom): 0.409
D(E_F) (states/eV per atom): 1.164
DFT total energy (eV/cell): -224.32
Magnetic moment (μB/atom): 0.0000